# 1
Below is crystalline CdCo2Cu at its relaxed geometry, with properties calculated at the PBE level.

Values from the calculation:
Magnetization: 3.1 μB/f.u.
Formation energy from the elements: 0.165 eV per atom
Crystal system: tetragonal

abc: 2.8494 2.8494 6.7137
angles: 90.00 90.00 90.00
Space group P4mm (No. 99)
Asymmetric unit:
1 Cd 0.0000 0.0000 0.0000 [1 per cell]
2 Co 0.0000 0.0000 0.4799 [1 per cell]
3 Co 0.5000 0.5000 0.2939 [1 per cell]
4 Cu 0.5000 0.5000 0.7086 [1 per cell]

***

# 2
Below is crystalline CdCo2Cu at its relaxed geometry, with properties calculated at the PBE level.

Values from the calculation:
Magnetization: 2.8 μB/f.u.
Formation energy from the elements: 0.320 eV per atom
Crystal system: cubic

abc: 5.9976 5.9976 5.9976
angles: 90.00 90.00 90.00
Space group F-43m (No. 216)
Asymmetric unit:
1 Cd 0.0000 0.0000 0.0000 [4 per cell]
2 Co 0.0000 0.0000 0.5000 [4 per cell]
3 Co 0.2500 0.2500 0.7500 [4 per cell]
4 Cu 0.2500 0.2500 0.2500 [4 per cell]

***

# 3
Below is crystalline CdCoCu4 at its relaxed geometry, with properties calculated at the PBE level.

Values from the calculation:
Magnetization: 1.3 μB/f.u.
Formation energy from the elements: 0.213 eV per atom
Crystal system: cubic

abc: 6.8637 6.8637 6.8637
angles: 90.00 90.00 90.00
Space group F-43m (No. 216)
Asymmetric unit:
1 Cd 0.0000 0.0000 0.0000 [4 per cell]
2 Co 0.2500 0.2500 0.2500 [4 per cell]
3 Cu 0.1245 0.1245 0.6245 [16 per cell]

***

# 4
Below is crystalline CdCo2Cu at its relaxed geometry, with properties calculated at the PBE level.

Values from the calculation:
Magnetization: 3.3 μB/f.u.
Formation energy from the elements: 0.319 eV per atom
Crystal system: orthorhombic

abc: 2.9432 4.2253 8.7524
angles: 90.00 90.00 90.00
Space group Immm (No. 71)
Asymmetric unit:
1 Cd 0.0000 0.0000 0.0000 [2 per cell]
2 Co 0.0000 0.5000 0.2383 [4 per cell]
3 Cu 0.0000 0.0000 0.5000 [2 per cell]

***

# 5
Below is crystalline Cd2Co2Cu at its relaxed geometry, with properties calculated at the PBE level.

Values from the calculation:
Magnetization: 1.9 μB/f.u.
Formation energy from the elements: 0.307 eV per atom
Crystal system: tetragonal

abc: 6.1287 6.1287 4.1372
angles: 90.00 90.00 90.00
Space group P4/mbm (No. 127)
Asymmetric unit:
1 Cd 0.1764 0.3236 0.0000 [4 per cell]
2 Co 0.1263 0.6263 0.5000 [4 per cell]
3 Cu 0.0000 0.0000 0.5000 [2 per cell]

***

# 6
Below is crystalline CdCo2Cu at its relaxed geometry, with properties calculated at the PBE level.

Values from the calculation:
Magnetization: 3.1 μB/f.u.
Formation energy from the elements: 0.305 eV per atom
Crystal system: tetragonal

abc: 3.8645 3.8645 7.2211
angles: 90.00 90.00 90.00
Space group I-4m2 (No. 119)
Asymmetric unit:
1 Cd 0.0000 0.0000 0.0000 [2 per cell]
2 Co 0.0000 0.0000 0.5000 [2 per cell]
3 Co 0.0000 0.5000 0.7500 [2 per cell]
4 Cu 0.0000 0.5000 0.2500 [2 per cell]

***

# 7
Below is crystalline CdCo2Cu at its relaxed geometry, with properties calculated at the PBE level.

Values from the calculation:
Magnetization: 3.2 μB/f.u.
Formation energy from the elements: 0.259 eV per atom
Crystal system: trigonal

abc: 2.6975 2.6975 26.1482
angles: 90.00 90.00 120.00
Space group R3m (No. 160, hexagonal axes)
Asymmetric unit:
1 Cd 0.0000 0.0000 0.0000 [3 per cell]
2 Co 0.0000 0.0000 0.2410 [3 per cell]
3 Co 0.0000 0.0000 0.5038 [3 per cell]
4 Cu 0.0000 0.0000 0.7594 [3 per cell]

***

# 8
Below is crystalline CdCo2Cu at its relaxed geometry, with properties calculated at the PBE level.

Values from the calculation:
Magnetization: 3.3 μB/f.u.
Formation energy from the elements: 0.311 eV per atom
Crystal system: orthorhombic

abc: 2.9475 4.3928 8.4856
angles: 90.00 90.00 90.00
Space group Imm2 (No. 44)
Asymmetric unit:
1 Cd 0.0000 0.0000 0.0000 [2 per cell]
2 Co 0.0000 0.0000 0.4818 [2 per cell]
3 Co 0.0000 0.5000 0.7705 [2 per cell]
4 Cu 0.0000 0.5000 0.2300 [2 per cell]

***

# 9
Below is crystalline DyCdCoCu at its relaxed geometry, with properties calculated at the PBE level.

Values from the calculation:
Magnetization: 0.5 μB/f.u.
Formation energy from the elements: -0.029 eV per atom
Crystal system: cubic

abc: 6.5618 6.5618 6.5618
angles: 90.00 90.00 90.00
Space group F-43m (No. 216)
Asymmetric unit:
1 Dy 0.0000 0.0000 0.0000 [4 per cell]
2 Cd 0.0000 0.0000 0.5000 [4 per cell]
3 Co 0.2500 0.2500 0.2500 [4 per cell]
4 Cu 0.2500 0.2500 0.7500 [4 per cell]

***

Question: Look up the magnetization of the fifth one.
Answer: 1.9 μB/f.u.